Crystalline Na2Pa3Se6 at its relaxed geometry. Source: Alexandria via LeMat-Bulk, functional GGA-PBE.

Calculated values
ΔE_f (raw) (eV per atom): -1.292
Space-group type: No. 12

abc: 7.0753 7.0753 7.6190
angles: 98.84 98.84 119.94
With the nearest neighbours (Å) after each atom.
Atoms (fractional coordinates):
Na  0.1674  0.8326  0.0000  6 Se 3.04-3.05
Na  0.8326  0.1674  0.0000  6 Se 3.04-3.05
Pa  0.0000  0.0000  0.5000  6 Se 2.90-2.91
Pa  0.3368  0.6632  0.5000  6 Se 2.89-2.91
Pa  0.6632  0.3368  0.5000  6 Se 2.89-2.91
Se  0.0743  0.4099  0.7308  3 Pa 2.90-2.91, 2 Na 3.05
Se  0.2529  0.2529  0.2632  3 Pa 2.89-2.91, 2 Na 3.04
Se  0.4099  0.0743  0.7308  3 Pa 2.90-2.91, 2 Na 3.05
Se  0.5901  0.9257  0.2692  3 Pa 2.90-2.91, 2 Na 3.05
Se  0.7471  0.7471  0.7368  3 Pa 2.89-2.91, 2 Na 3.04
Se  0.9257  0.5901  0.2692  3 Pa 2.90-2.91, 2 Na 3.05


Crystalline Rb3CoRh2S6 at its relaxed geometry. Source: Alexandria via LeMat-Bulk, functional GGA-PBE.

Calculated values
ΔE_f (raw) (eV per atom): -0.664
Space-group type: No. 12

abc: 6.3967 6.3967 7.3829
angles: 98.31 98.31 119.99
With the nearest neighbours (Å) after each atom.
Atoms (fractional coordinates):
Rb  0.0000  0.0000  0.0000  6 S 3.22-3.27
Rb  0.3302  0.6698  0.0000  6 S 3.22-3.26
Rb  0.6698  0.3302  0.0000  6 S 3.22-3.26
Co  0.5000  0.5000  0.5000  6 S 2.34-2.35
Rh  0.1667  0.8333  0.5000  6 S 2.43
Rh  0.8333  0.1667  0.5000  6 S 2.43
S  0.1248  0.4482  0.3446  1 Co 2.34, 2 Rh 2.43
S  0.2287  0.2287  0.6564  1 Co 2.35, 2 Rh 2.43
S  0.4482  0.1248  0.3446  1 Co 2.34, 2 Rh 2.43
S  0.5518  0.8752  0.6554  1 Co 2.34, 2 Rh 2.43
S  0.7713  0.7713  0.3436  1 Co 2.35, 2 Rh 2.43
S  0.8752  0.5518  0.6554  1 Co 2.34, 2 Rh 2.43


Crystalline AlGeOF2 at its relaxed geometry. Source: Alexandria via LeMat-Bulk, functional GGA-PBE.

Calculated values
Distance to the lowest polymorph of the same formula (eV per atom): 0.000
ΔE_f (raw) (eV per atom): -1.956
Space-group type: No. 123

abc: 4.0577 4.0577 3.5656
angles: 90.00 90.00 90.00
With the nearest neighbours (Å) after each atom.
Atoms (fractional coordinates):
Al  0.0000  0.0000  0.0000  2 O 1.78
Ge  0.5000  0.5000  0.5000  8 F 2.70, 4 O 2.87
O  0.0000  0.0000  0.5000  2 Al 1.78
F  0.0000  0.5000  0.0000  2 Al 2.03
F  0.5000  0.0000  0.0000  2 Al 2.03


Crystalline KIrW3 at its relaxed geometry. Source: Alexandria via LeMat-Bulk, functional GGA-PBE.

Calculated values
Distance to the lowest polymorph of the same formula (eV per atom): 1.532
Space-group type: No. 221
Energy of formation from the pure elements (eV per atom): 3.578

abc: 4.4177 4.4177 4.4177
angles: 90.00 90.00 90.00
With the nearest neighbours (Å) after each atom.
Atoms (fractional coordinates):
K  0.0000  0.0000  0.0000  6 W 2.21
Ir  0.5000  0.5000  0.5000  12 W 3.12
W  0.0000  0.0000  0.5000  2 K 2.21
W  0.0000  0.5000  0.0000  2 K 2.21
W  0.5000  0.0000  0.0000  2 K 2.21


Crystalline CrRuN at its relaxed geometry. Source: Alexandria via LeMat-Bulk, functional GGA-PBE.

Calculated values
Distance to the lowest polymorph of the same formula (eV per atom): 0.034
ΔE_f (raw) (eV per atom): -0.100
Space-group type: No. 26

abc: 2.7072 4.6105 4.9615
angles: 90.00 90.00 90.00
With the nearest neighbours (Å) after each atom.
Atoms (fractional coordinates):
Cr  0.0000  0.0775  0.0000  4 N 1.97-2.11
Cr  0.0000  0.9225  0.5000  4 N 1.97-2.11
Ru  0.5000  0.4072  0.6368  2 N 2.04-2.09
Ru  0.5000  0.5928  0.1368  2 N 2.04-2.09
N  0.5000  0.1752  0.2737  4 Cr 1.97-2.11, 2 Ru 2.04-2.09
N  0.5000  0.8248  0.7737  4 Cr 1.97-2.11, 2 Ru 2.04-2.09


Crystalline Sr3Ca7Ac at its relaxed geometry. Source: Alexandria via LeMat-Bulk, functional GGA-PBE.

Calculated values
Distance to the lowest polymorph of the same formula (eV per atom): 0.104
Space-group type: No. 12
Energy of formation from the pure elements (eV per atom): 0.249

abc: 9.2597 9.2597 6.8746
angles: 106.55 106.55 90.13
With the nearest neighbours (Å) after each atom.
Atoms (fractional coordinates):
Sr  0.0000  0.0000  0.0000  6 Ca 3.80-3.86
Sr  0.2226  0.7774  0.5000  7 Ca 3.64-3.98
Sr  0.7774  0.2226  0.5000  7 Ca 3.64-3.98
Ca  0.0690  0.5854  0.8257  4 Ca 3.71-4.13, 3 Sr 3.78-3.98, 1 Ac 3.98
Ca  0.2128  0.2128  0.5847  1 Ac 3.69, 3 Ca 3.80-4.03, 3 Sr 3.86-3.91
Ca  0.4146  0.9310  0.1743  4 Ca 3.71-4.13, 3 Sr 3.78-3.98, 1 Ac 3.98
Ca  0.5000  0.5000  0.5000  2 Ac 3.44, 2 Sr 3.64
Ca  0.5854  0.0690  0.8257  4 Ca 3.71-4.13, 3 Sr 3.78-3.98, 1 Ac 3.98
Ca  0.7872  0.7872  0.4153  1 Ac 3.69, 3 Ca 3.80-4.03, 3 Sr 3.86-3.91
Ca  0.9310  0.4146  0.1743  4 Ca 3.71-4.13, 3 Sr 3.78-3.98, 1 Ac 3.98
Ac  0.5000  0.5000  0.0000  4 Ca 3.44-3.69


Crystalline Y2AlZn3 at its relaxed geometry. Source: Alexandria via LeMat-Bulk, functional GGA-PBE.

Calculated values
Distance to the lowest polymorph of the same formula (eV per atom): 0.000
Space-group type: No. 69
Energy of formation from the pure elements (eV per atom): -0.433

abc: 8.9340 8.5261 5.7371
angles: 74.71 67.01 38.28
With the nearest neighbours (Å) after each atom.
Atoms (fractional coordinates):
Y  0.2440  0.7560  0.7560  10 Zn 3.11-3.16, 2 Al 3.15
Y  0.2500  0.2500  0.2500  8 Zn 3.15, 4 Al 3.15
Y  0.7500  0.7500  0.7500  8 Zn 3.15, 4 Al 3.15
Y  0.7560  0.2440  0.2440  10 Zn 3.11-3.16, 2 Al 3.15
Al  0.3344  0.3344  0.6656  3 Zn 2.57-2.60
Al  0.6656  0.6656  0.3344  3 Zn 2.57-2.60
Zn  0.1664  0.1664  0.8336  2 Zn 2.59, 1 Al 2.60
Zn  0.1679  0.6663  0.3337  2 Zn 2.56-2.59, 1 Al 2.57
Zn  0.3337  0.8321  0.1679  2 Zn 2.56-2.59, 1 Al 2.57
Zn  0.6663  0.1679  0.8321  2 Zn 2.56-2.59, 1 Al 2.57
Zn  0.8321  0.3337  0.6663  2 Zn 2.56-2.59, 1 Al 2.57
Zn  0.8336  0.8336  0.1664  2 Zn 2.59, 1 Al 2.60


Crystalline ThPd2Au8 at its relaxed geometry. Source: Alexandria via LeMat-Bulk, functional GGA-PBE.

Calculated values
Space-group type: No. 12
Energy of formation from the pure elements (eV per atom): -0.191

abc: 7.3017 7.3017 4.3019
angles: 90.07 90.07 107.53
With the nearest neighbours (Å) after each atom.
Atoms (fractional coordinates):
Th  0.0000  0.0000  0.0000  12 Au 2.91-3.10
Pd  0.3845  0.6155  0.5000  8 Au 2.67-2.91, 1 Pd 2.72
Pd  0.6155  0.3845  0.5000  8 Au 2.67-2.91, 1 Pd 2.72
Au  0.0378  0.3152  0.5006  1 Pd 2.81, 6 Au 2.91-3.05, 2 Th 3.10
Au  0.2502  0.7498  0.0000  2 Pd 2.67, 4 Au 2.94-2.95, 1 Th 2.95
Au  0.3152  0.0378  0.5006  1 Pd 2.81, 6 Au 2.91-3.05, 2 Th 3.10
Au  0.3370  0.3370  0.9996  5 Au 2.81-3.04, 4 Pd 2.91, 1 Th 2.91
Au  0.6630  0.6630  0.0004  5 Au 2.81-3.04, 4 Pd 2.91, 1 Th 2.91
Au  0.6848  0.9622  0.4994  1 Pd 2.81, 6 Au 2.91-3.05, 2 Th 3.10
Au  0.7498  0.2502  0.0000  2 Pd 2.67, 4 Au 2.94-2.95, 1 Th 2.95
Au  0.9622  0.6848  0.4994  1 Pd 2.81, 6 Au 2.91-3.05, 2 Th 3.10


Crystalline B5C7 at its relaxed geometry. Source: Alexandria via LeMat-Bulk, functional GGA-PBE.

Calculated values
Distance to the lowest polymorph of the same formula (eV per atom): 0.134
Space-group type: No. 8
Energy of formation from the pure elements (eV per atom): 0.392

abc: 6.3332 6.3332 5.2174
angles: 103.39 103.39 22.64
With the nearest neighbours (Å) after each atom.
Atoms (fractional coordinates):
B  0.0000  0.0000  0.0000  3 C 1.65-1.79, 1 B 1.71
B  0.0198  0.0198  0.4267  1 C 1.56
B  0.0914  0.0914  0.8008  3 B 1.71-1.77
B  0.4179  0.4179  0.4394  2 C 1.60-1.67, 2 B 1.79
B  0.6934  0.6934  0.8129  2 C 1.57-1.63
C  0.1155  0.1155  0.2799  2 C 1.53, 1 B 1.56
C  0.3358  0.3358  0.1361  3 C 1.51-1.52, 1 B 1.67
C  0.3435  0.3435  0.6507  3 C 1.55-1.56, 1 B 1.60
C  0.4106  0.4106  0.9431  2 C 1.52-1.56, 2 B 1.65
C  0.6888  0.6888  0.3152  4 C 1.53-1.59
C  0.7650  0.7650  0.1188  3 C 1.51-1.55, 1 B 1.63
C  0.7669  0.7669  0.6053  3 C 1.55-1.59, 1 B 1.57


Crystalline MgIn2S4 at its relaxed geometry. Source: Alexandria via LeMat-Bulk, functional GGA-PBE.

Calculated values
ΔE_f (raw) (eV per atom): -0.795
Space-group type: No. 62

abc: 12.9817 7.7496 6.4063
angles: 90.00 90.00 90.00
With the nearest neighbours (Å) after each atom.
Atoms (fractional coordinates):
Mg  0.2282  0.2500  0.0070  6 S 2.57-2.82
Mg  0.2718  0.7500  0.5070  6 S 2.57-2.82
Mg  0.7282  0.2500  0.4930  6 S 2.57-2.82
Mg  0.7718  0.7500  0.9930  6 S 2.57-2.82
In  0.0000  0.0000  0.5000  6 S 2.62-2.70
In  0.0000  0.5000  0.5000  6 S 2.62-2.70
In  0.0968  0.7500  0.0747  4 S 2.44-2.52
In  0.4032  0.2500  0.5747  4 S 2.44-2.52
In  0.5000  0.0000  0.0000  6 S 2.62-2.70
In  0.5000  0.5000  0.0000  6 S 2.62-2.70
In  0.5968  0.7500  0.4253  4 S 2.44-2.52
In  0.9032  0.2500  0.9253  4 S 2.44-2.52
S  0.0764  0.2500  0.7485  3 In 2.52-2.70, 1 Mg 2.58
S  0.0961  0.7500  0.6936  3 In 2.44-2.62, 1 Mg 2.57
S  0.1693  0.0005  0.2646  2 In 2.48-2.67, 1 Mg 2.65
S  0.1693  0.4995  0.2646  2 In 2.48-2.67, 1 Mg 2.65
S  0.3307  0.9995  0.7646  2 In 2.48-2.67, 1 Mg 2.65
S  0.3307  0.5005  0.7646  2 In 2.48-2.67, 1 Mg 2.65
S  0.4039  0.2500  0.1936  3 In 2.44-2.62, 1 Mg 2.57
S  0.4236  0.7500  0.2485  3 In 2.52-2.70, 1 Mg 2.58
S  0.5764  0.2500  0.7515  3 In 2.52-2.70, 1 Mg 2.58
S  0.5961  0.7500  0.8064  3 In 2.44-2.62, 1 Mg 2.57
S  0.6693  0.0005  0.2354  2 In 2.48-2.67, 1 Mg 2.65
S  0.6693  0.4995  0.2354  2 In 2.48-2.67, 1 Mg 2.65
S  0.8307  0.9995  0.7354  2 In 2.48-2.67, 1 Mg 2.65
S  0.8307  0.5005  0.7354  2 In 2.48-2.67, 1 Mg 2.65
S  0.9039  0.2500  0.3064  3 In 2.44-2.62, 1 Mg 2.57
S  0.9236  0.7500  0.2515  3 In 2.52-2.70, 1 Mg 2.58


Crystalline Cs2Tl3Cd at its relaxed geometry. Source: Alexandria via LeMat-Bulk, functional GGA-PBE.

Calculated values
Space-group type: No. 15
Energy of formation from the pure elements (eV per atom): -0.057

abc: 9.2397 9.2397 8.0353
angles: 102.61 102.61 46.93
With the nearest neighbours (Å) after each atom.
Atoms (fractional coordinates):
Cs  0.1812  0.1817  0.5902  6 Tl 3.89-4.05, 2 Cs 4.02, 2 Cd 4.06
Cs  0.1817  0.1812  0.0902  6 Tl 3.89-4.05, 2 Cs 4.02, 2 Cd 4.06
Cs  0.8183  0.8188  0.9098  6 Tl 3.89-4.05, 2 Cs 4.02, 2 Cd 4.06
Cs  0.8188  0.8183  0.4098  6 Tl 3.89-4.05, 2 Cs 4.02, 2 Cd 4.06
Tl  0.2247  0.7753  0.7500  4 Tl 3.34, 1 Cd 3.53
Tl  0.3950  0.3952  0.4471  2 Cd 3.20, 3 Tl 3.34-3.46
Tl  0.3952  0.3950  0.9471  2 Cd 3.20, 3 Tl 3.34-3.46
Tl  0.6048  0.6050  0.0529  2 Cd 3.20, 3 Tl 3.34-3.46
Tl  0.6050  0.6048  0.5529  2 Cd 3.20, 3 Tl 3.34-3.46
Tl  0.7753  0.2247  0.2500  4 Tl 3.34, 1 Cd 3.53
Cd  0.2555  0.7445  0.2500  5 Tl 3.20-3.53
Cd  0.7445  0.2555  0.7500  5 Tl 3.20-3.53


Crystalline CdIn2As at its relaxed geometry. Source: Alexandria via LeMat-Bulk, functional GGA-PBE.

Calculated values
Distance to the lowest polymorph of the same formula (eV per atom): 0.029
Space-group type: No. 47
Energy of formation from the pure elements (eV per atom): 0.033

abc: 2.9202 4.0878 8.3032
angles: 90.00 90.00 90.00
With the nearest neighbours (Å) after each atom.
Atoms (fractional coordinates):
Cd  0.0000  0.0000  0.0000  2 Cd 2.92
In  0.5000  0.5000  0.2555  2 As 2.88, 2 In 2.92
In  0.5000  0.5000  0.7445  2 As 2.88, 2 In 2.92
As  0.5000  0.0000  0.5000  4 In 2.88, 2 As 2.92


Number 1: DFT total energy -66.2 eV for the cell shown. Number 2: DFT total energy -57.4 eV for the cell shown. Number 3: DFT total energy -26.8 eV for the cell shown. Number 4: DFT total energy -30.9 eV for the cell shown. Number 5: DFT total energy -55.1 eV for the cell shown. Number 6: DFT total energy -20.4 eV for the cell shown. Number 7: DFT total energy -46.2 eV for the cell shown. Number 8: DFT total energy -46.1 eV for the cell shown. Number 9: DFT total energy -93.3 eV for the cell shown. Number 10: DFT total energy -116.6 eV for the cell shown. Number 11: DFT total energy -20.1 eV for the cell shown. Number 12: DFT total energy -10.9 eV for the cell shown.